Entry 1:
Entry from Alexandria: crystalline TaNiSb at its relaxed geometry (PBE-GGA). Values from VASP.

Properties
Space group: Fmm2, No. 42
Density: 11.592 g/cm³
Magnetization: 0.000 μB per formula unit
Formation energy from raw total energies: 0.0714 eV/atom
Calculated volume: 52 Å³/f.u.

Cell and atoms, written as Quantum ESPRESSO input:
```
&SYSTEM
  ibrav = 0, nat = 3, ntyp = 3
/
ATOMIC_SPECIES
Ni 58.69 Ni.upf
Ta 180.95 Ta.upf
Sb 121.76 Sb.upf
CELL_PARAMETERS angstrom
-5.1419 -1.7051 1.8819
-2.8758 -2.8972 3.7836
-1.2344 2.2586 1.8834
ATOMIC_POSITIONS angstrom
Ni -1.2639 2.2288 1.8998
Ta -5.6358 -2.1932 4.3374
Sb -3.5868 -0.1207 3.1950
```

Entry 2:
Entry from Alexandria: crystalline ZrScZnTc at its relaxed geometry (PBE-GGA). Values from VASP.

Properties
Space group: P4mm, No. 99
Density: 6.772 g/cm³
Magnetization: 0.000 μB per formula unit
ΔH_f (0 K): -0.35 eV/atom
Calculated volume: 73 Å³/f.u.

Cell and atoms, written as Quantum ESPRESSO input:
```
&SYSTEM
  ibrav = 0, nat = 4, ntyp = 4
/
ATOMIC_SPECIES
Sc 44.96 Sc.upf
Tc 98.00 Tc.upf
Zr 91.22 Zr.upf
Zn 65.41 Zn.upf
CELL_PARAMETERS angstrom
-3.0186 -0.5877 -1.3399
1.4273 -1.8583 -2.4005
-0.6260 -5.3133 3.7409
ATOMIC_POSITIONS angstrom
Sc -0.5437 -4.6150 3.2493
Tc -0.8667 -1.8261 -1.4456
Zr -0.2112 -1.7925 1.2620
Zn -1.1766 -4.4563 0.4063
```

Entry 3:
Entry from Alexandria: crystalline Tc2HgBr at its relaxed geometry (PBE-GGA). Values from VASP.

Properties
Space group: P2/m, No. 10
Density: 9.304 g/cm³
Magnetization: 0.000 μB per formula unit
Formation energy from raw total energies: 0.8321 eV/atom
Calculated volume: 85 Å³/f.u.

Cell and atoms, written as Quantum ESPRESSO input:
```
&SYSTEM
  ibrav = 0, nat = 4, ntyp = 3
/
ATOMIC_SPECIES
Tc 98.00 Tc.upf
Hg 200.59 Hg.upf
Br 79.90 Br.upf
CELL_PARAMETERS angstrom
-3.3052 0.1788 -2.5540
1.9109 -0.7875 -2.5280
-1.1313 -6.0366 1.0413
ATOMIC_POSITIONS angstrom
Tc -0.1766 -3.6667 -0.0283
Tc -0.5650 -5.7820 0.3262
Hg -1.0679 -5.0286 -2.3920
Br -1.4577 -1.6166 -1.6487
```

Entry 4:
Entry from Alexandria: crystalline BeAu2Br at its relaxed geometry (PBE-GGA). Values from VASP.

Properties
Space group: I-4m2, No. 119
Density: 9.139 g/cm³
Magnetization: 0.000 μB per formula unit
Formation energy from raw total energies: 0.5005 eV/atom
Calculated volume: 88 Å³/f.u.

Cell and atoms, written as Quantum ESPRESSO input:
```
&SYSTEM
  ibrav = 0, nat = 4, ntyp = 3
/
ATOMIC_SPECIES
Au 196.97 Au.upf
Br 79.90 Br.upf
Be 9.01 Be.upf
CELL_PARAMETERS angstrom
-1.4541 0.3138 -6.8862
2.6147 -2.7403 -5.9403
-2.1624 -0.8197 6.6547
ATOMIC_POSITIONS angstrom
Au 0.0000 0.0000 0.0000
Au 0.5163 -2.3866 -2.8494
Br -1.5181 -0.8596 -3.3224
Be 0.5803 -1.2133 -6.4132
```

Entry 5:
Entry from Alexandria: crystalline PmSm2U2Ru5 at its relaxed geometry (PBE-GGA). Values from VASP.

Properties
Space group: P4/mbm, No. 127
Density: 11.276 g/cm³
Magnetization: 0.000 μB per formula unit
ΔH_f (0 K): -0.22 eV/atom
Calculated volume: 210 Å³/f.u.

Cell and atoms, written as Quantum ESPRESSO input:
```
&SYSTEM
  ibrav = 0, nat = 20, ntyp = 4
/
ATOMIC_SPECIES
Sm 150.36 Sm.upf
Ru 101.07 Ru.upf
U 238.03 U.upf
Pm 145.00 Pm.upf
CELL_PARAMETERS angstrom
-3.4425 0.1091 1.1743
2.9920 -4.6705 9.2056
1.7833 9.6742 4.3287
ATOMIC_POSITIONS angstrom
Sm 3.6705 2.6954 10.5102
Sm 1.1047 2.3083 3.0241
Sm 2.3378 -1.4532 6.9887
Sm 2.4374 6.4569 6.5456
Ru -0.9734 -0.4526 2.8266
Ru 1.2252 1.0239 9.1350
Ru -0.1688 7.3688 4.4584
Ru 0.1184 0.6914 5.9212
Ru -0.8296 4.8917 2.7515
Ru 1.2143 4.4214 8.7873
Ru 1.5016 -2.2560 10.2501
Ru 0.1075 4.0889 5.5735
Ru 2.3061 5.5655 11.8819
Ru -0.2253 -2.2807 5.1899
U 3.2504 -0.4970 9.5751
U 1.5249 5.5007 3.9592
U 1.3357 -0.4330 3.9561
U 3.4395 5.4367 9.5782
Pm 0.0000 0.0000 0.0000
Pm 2.3876 2.5018 6.7671
```

Entry 6:
Entry from Alexandria: crystalline In2SnCl2 at its relaxed geometry (PBE-GGA). Values from VASP.

Properties
Space group: P4/mbm, No. 127
Density: 4.964 g/cm³
Magnetization: 0.000 μB per formula unit
Formation energy from raw total energies: -0.3562 eV/atom
Calculated volume: 140 Å³/f.u.

Cell and atoms, written as Quantum ESPRESSO input:
```
&SYSTEM
  ibrav = 0, nat = 10, ntyp = 3
/
ATOMIC_SPECIES
In 114.82 In.upf
Cl 35.45 Cl.upf
Sn 118.71 Sn.upf
CELL_PARAMETERS angstrom
-3.2013 -1.9877 -7.9899
-1.8013 -8.1958 2.7607
-3.2688 1.0699 1.0435
ATOMIC_POSITIONS angstrom
In -3.3943 -5.3122 1.0039
In -2.9945 -1.5253 -1.6265
In -5.2768 -7.5884 -2.5592
In -4.8770 -3.8014 -5.1896
Cl -2.7279 -7.8176 -0.5297
Cl -1.0893 -3.2614 -0.0682
Cl -2.2747 -2.3660 -4.6995
Cl -3.9133 -6.9221 -5.1610
Sn 0.0000 0.0000 0.0000
Sn -2.5013 -5.0918 -2.6146
```

Entry 7:
Entry from Alexandria: crystalline MgZnTePt2 at its relaxed geometry (PBE-GGA). Values from VASP.

Properties
Space group: P4/mmm, No. 123
Density: 9.581 g/cm³
Magnetization: 0.000 μB per formula unit
Formation energy from raw total energies: 0.2576 eV/atom
Calculated volume: 105 Å³/f.u.

Cell and atoms, written as Quantum ESPRESSO input:
```
&SYSTEM
  ibrav = 0, nat = 5, ntyp = 4
/
ATOMIC_SPECIES
Pt 195.08 Pt.upf
Mg 24.30 Mg.upf
Te 127.60 Te.upf
Zn 65.41 Zn.upf
CELL_PARAMETERS angstrom
-4.1398 1.8646 1.2169
0.7679 -1.2533 4.5327
2.0938 4.1340 0.7883
ATOMIC_POSITIONS angstrom
Pt -2.0699 0.9323 0.6085
Pt 1.0469 2.0670 0.3942
Mg 0.3840 -0.6266 2.2663
Te -0.6391 2.3727 3.2690
Zn 0.0000 0.0000 0.0000
```

Entry 8:
Entry from Alexandria: crystalline GaAs2Pd8 at its relaxed geometry (PBE-GGA). Values from VASP.

Properties
Space group: Immm, No. 71
Density: 10.296 g/cm³
Magnetization: 0.000 μB per formula unit
ΔH_f (0 K): -0.40 eV/atom
Calculated volume: 173 Å³/f.u.

Cell and atoms, written as Quantum ESPRESSO input:
```
&SYSTEM
  ibrav = 0, nat = 11, ntyp = 3
/
ATOMIC_SPECIES
As 74.92 As.upf
Pd 106.42 Pd.upf
Ga 69.72 Ga.upf
CELL_PARAMETERS angstrom
-2.2769 -2.4857 -2.1324
3.4454 -5.6718 2.9326
-4.5819 3.9406 4.0295
ATOMIC_POSITIONS angstrom
As 0.2855 -2.8856 3.0589
As -3.6988 -1.3313 1.7708
Pd 1.0632 -1.7503 0.9050
Pd -1.0699 -0.0369 1.1855
Pd -2.3434 -4.1799 3.6442
Pd -1.5037 -2.8739 1.2251
Pd -4.4765 -2.4666 3.9247
Pd -3.4292 1.1584 2.3113
Pd -1.9097 -1.3430 3.6046
Pd 0.0159 -5.3753 2.5184
Ga -1.1384 -1.2428 -1.0662
```

Entry 9:
Entry from Alexandria: crystalline ZrAl3Ir at its relaxed geometry (PBE-GGA). Values from VASP.

Properties
Space group: Pm-3m, No. 221
Density: 5.061 g/cm³
Magnetization: 0.000 μB per formula unit
ΔH_f (0 K): 1.60 eV/atom
Calculated volume: 120 Å³/f.u.

Cell and atoms, written as Quantum ESPRESSO input:
```
&SYSTEM
  ibrav = 0, nat = 5, ntyp = 3
/
ATOMIC_SPECIES
Zr 91.22 Zr.upf
Al 26.98 Al.upf
Ir 192.22 Ir.upf
CELL_PARAMETERS angstrom
-1.6755 -3.1548 3.3923
1.2934 -3.7825 -2.8788
4.4483 -0.0885 2.1148
ATOMIC_POSITIONS angstrom
Zr 0.0000 0.0000 0.0000
Al -0.8378 -1.5774 1.6961
Al 0.6467 -1.8912 -1.4394
Al 2.2242 -0.0443 1.0574
Ir 2.0331 -3.5129 1.3141
```

Entry 10:
Entry from Alexandria: crystalline RbFeP2H at its relaxed geometry (PBE-GGA). Values from VASP.

Properties
Space group: P4/mmm, No. 123
Density: 4.461 g/cm³
Magnetization: 0.108 μB per formula unit
Calculated volume: 76 Å³/f.u.
Calculated total energy: -3.4754 eV/atom

Cell and atoms, written as Quantum ESPRESSO input:
```
&SYSTEM
  ibrav = 0, nat = 5, ntyp = 4
/
ATOMIC_SPECIES
Rb 85.47 Rb.upf
P 30.97 P.upf
H 1.01 H.upf
Fe 55.84 Fe.upf
CELL_PARAMETERS angstrom
-3.8268 1.0957 -0.9050
-1.5672 -3.7267 2.1153
-0.2313 2.0849 3.5020
ATOMIC_POSITIONS angstrom
Rb -0.7836 -1.8634 1.0576
P -0.1156 1.0425 1.7510
P -1.9134 0.5478 -0.4525
H 0.0000 0.0000 0.0000
Fe -2.8127 -0.2731 2.3561
```

Entry 11:
Entry from Alexandria: crystalline DyEr2Si3Pt4 at its relaxed geometry (PBE-GGA). Values from VASP.

Properties
Space group: P-4m2, No. 115
Density: 11.885 g/cm³
Magnetization: 0.000 μB per formula unit
Formation energy from raw total energies: -1.0378 eV/atom
Calculated volume: 190 Å³/f.u.

Cell and atoms, written as Quantum ESPRESSO input:
```
&SYSTEM
  ibrav = 0, nat = 10, ntyp = 4
/
ATOMIC_SPECIES
Er 167.26 Er.upf
Pt 195.08 Pt.upf
Dy 162.50 Dy.upf
Si 28.09 Si.upf
CELL_PARAMETERS angstrom
-3.2755 1.1613 -2.2537
-0.3671 -3.8605 -1.4557
-6.7154 -2.5468 8.4477
ATOMIC_POSITIONS angstrom
Er -5.4024 -3.9095 5.8372
Er -3.1344 0.0131 0.7558
Pt 0.0000 0.0000 0.0000
Pt -1.8213 -1.3496 -1.8547
Pt -2.4363 -2.7846 2.1060
Pt -6.1005 -1.1118 4.4870
Dy -5.1790 -2.6230 2.3691
Si -7.5246 -1.6519 6.2785
Si -1.0122 -2.2445 0.3145
Si -3.3577 -1.2734 4.2239
```

Entry 12:
Entry from Alexandria: crystalline Nd5Ho4Cd at its relaxed geometry (PBE-GGA). Values from VASP.

Properties
Space group: P4/mmm, No. 123
Density: 7.685 g/cm³
Magnetization: 0.000 μB per formula unit
ΔH_f (0 K): -0.04 eV/atom
Calculated volume: 323 Å³/f.u.

Cell and atoms, written as Quantum ESPRESSO input:
```
&SYSTEM
  ibrav = 0, nat = 10, ntyp = 3
/
ATOMIC_SPECIES
Cd 112.41 Cd.upf
Ho 164.93 Ho.upf
Nd 144.24 Nd.upf
CELL_PARAMETERS angstrom
-0.9602 -1.1985 3.2935
0.2650 -3.4299 -1.1709
23.5002 -0.4656 6.6822
ATOMIC_POSITIONS angstrom
Cd 0.0000 0.0000 0.0000
Ho 19.0013 -0.3765 5.4029
Ho 14.1687 -0.2807 4.0288
Ho 4.4989 -0.0891 1.2792
Ho 9.3316 -0.1849 2.6534
Nd 6.5719 -2.4513 3.0289
Nd 21.0843 -2.7389 7.1554
Nd 1.7207 -2.3552 1.6494
Nd 16.2330 -2.6427 5.7760
Nd 11.4025 -2.5470 4.4024
```

Entry 13:
Entry from Alexandria: crystalline Al3CoIr at its relaxed geometry (PBE-GGA). Values from VASP.

Properties
Space group: Imma, No. 74
Density: 7.413 g/cm³
Magnetization: 0.000 μB per formula unit
ΔH_f (0 K): -0.61 eV/atom
Calculated volume: 74 Å³/f.u.

Cell and atoms, written as Quantum ESPRESSO input:
```
&SYSTEM
  ibrav = 0, nat = 20, ntyp = 3
/
ATOMIC_SPECIES
Al 26.98 Al.upf
Ir 192.22 Ir.upf
Co 58.93 Co.upf
CELL_PARAMETERS angstrom
4.0539 0.0000 0.9596
2.1104 8.4529 0.0976
0.0717 -0.2053 8.7102
ATOMIC_POSITIONS angstrom
Al 2.0711 5.9942 4.7686
Al 1.3652 3.0020 7.7617
Al 4.8708 5.2456 2.0057
Al 2.9944 1.7765 0.9060
Al 4.1649 2.2535 4.9988
Al 2.5383 3.9536 2.8278
Al 3.2415 6.4711 8.8614
Al 3.6977 4.2940 6.9396
Al 1.8311 0.9449 5.8040
Al 5.6324 8.0168 7.8037
Al 4.4048 7.3028 3.9634
Al 0.6035 0.2308 1.9637
Ir 4.7612 2.7745 2.4794
Ir 2.4051 1.3766 3.3901
Ir 1.4748 5.4732 7.2880
Ir 3.8309 6.8710 6.3773
Co 2.6218 6.3205 2.4587
Co 3.6142 1.9271 7.3087
Co 4.9776 7.7171 1.5492
Co 1.2584 0.5305 8.2182
```

Entry 14:
Entry from Alexandria: crystalline Cu2Ag2H at its relaxed geometry (PBE-GGA). Values from VASP.

Properties
Space group: P4/mbm, No. 127
Density: 8.338 g/cm³
Magnetization: 0.000 μB per formula unit
Calculated volume: 68 Å³/f.u.
Calculated total energy: -3.0817 eV/atom

Cell and atoms, written as Quantum ESPRESSO input:
```
&SYSTEM
  ibrav = 0, nat = 10, ntyp = 3
/
ATOMIC_SPECIES
H 1.01 H.upf
Cu 63.55 Cu.upf
Ag 107.87 Ag.upf
CELL_PARAMETERS angstrom
-2.1519 -4.9253 0.9762
3.1115 -0.4745 4.4649
-3.3107 1.9448 2.5139
ATOMIC_POSITIONS angstrom
H 0.0000 0.0000 0.0000
H 0.4798 -2.6999 2.7205
Cu 0.0500 -0.1064 4.3373
Cu -0.4401 -2.6584 5.6663
Cu -1.9111 -0.7966 2.2887
Cu -2.4011 -3.3486 3.6176
Ag 0.3332 -4.3766 3.8247
Ag 0.6264 -1.0232 1.6164
Ag -0.9065 -3.4161 1.4489
Ag 1.8661 -1.9837 3.9922
```

Entry 15:
Entry from Alexandria: crystalline Tb5Co2Rh at its relaxed geometry (PBE-GGA). Values from VASP.

Properties
Space group: I4/mcm, No. 140
Density: 9.245 g/cm³
Magnetization: 0.000 μB per formula unit
ΔH_f (0 K): -0.36 eV/atom
Calculated volume: 182 Å³/f.u.

Cell and atoms, written as Quantum ESPRESSO input:
```
&SYSTEM
  ibrav = 0, nat = 16, ntyp = 3
/
ATOMIC_SPECIES
Tb 158.93 Tb.upf
Co 58.93 Co.upf
Rh 102.91 Rh.upf
CELL_PARAMETERS angstrom
6.4709 0.0000 -3.0546
-1.4419 6.3082 -3.0546
0.1664 0.2088 8.7339
ATOMIC_POSITIONS angstrom
Tb 2.6056 4.4493 2.5484
Tb 3.9531 6.1396 -2.9783
Tb 0.0000 0.0000 0.0000
Tb 2.5145 3.1541 -3.0546
Tb 5.6155 2.9855 -1.8954
Tb 1.2423 0.3774 5.6030
Tb 4.2680 1.2952 3.6313
Tb -0.4201 3.5315 4.5201
Tb 0.9274 5.2218 -1.0066
Tb 2.5898 2.0677 0.0763
Co 4.8601 3.8635 -4.5819
Co 1.2280 5.5988 -3.8949
Co 3.8010 0.7094 -2.2143
Co 0.1689 2.4447 -1.5273
Rh 1.3405 1.6814 2.8396
Rh 3.8549 4.8355 -0.2150
```